Below is a relaxed structure of HfTlNO2, with properties calculated at the PBE-GGA level.

It has space group P4/mmm (No. 123), with a = 4.0777 Å, b = 4.0777 Å, c = 4.4500 Å, α = 90.00°, β = 90.00° and γ = 90.00°. The inequivalent atoms are Hf at (0.0000, 0.0000, 0.0000), Tl at (0.5000, 0.5000, 0.5000), N at (0.0000, 0.0000, 0.5000) and O at (0.0000, 0.5000, 0.0000).

As for the crystal system: tetragonal. The total energy comes out at -7.389 eV per atom.